! La2PaS2N2 (PBE, optimized geometry); values from VASP
&SYSTEM
  ibrav = 0, nat = 7, ntyp = 4
/
ATOMIC_SPECIES
S 32.06 S.upf
N 14.01 N.upf
Pa 231.04 Pa.upf
La 138.91 La.upf
ATOMIC_POSITIONS crystal
S 0.8207 0.8207 0.6413
S 0.1793 0.1793 0.3587
N 0.5000 0.0000 0.0000
N 0.0000 0.5000 0.0000
Pa 0.0000 0.0000 0.0000
La 0.6325 0.6325 0.2650
La 0.3675 0.3675 0.7350
CELL_PARAMETERS angstrom
4.3657 0.0000 0.0000
0.0000 4.3657 0.0000
-2.1828 -2.1828 7.6678
! V (Å³ per cell): 146
! Symmetry: I4/mmm (139)
! Magnetization (Bohr magnetons per cell): 0.00
! Energy relative to the elements, uncorrected (eV per atom): -1.769

---

! TeWAu2 (PBE, optimized geometry); values from VASP
&SYSTEM
  ibrav = 0, nat = 4, ntyp = 3
/
ATOMIC_SPECIES
W 183.84 W.upf
Te 127.60 Te.upf
Au 196.97 Au.upf
ATOMIC_POSITIONS crystal
W 0.7487 0.7487 0.7487
Te 0.4892 0.4892 0.4892
Au 0.0046 0.0046 0.0046
Au 0.2575 0.2575 0.2575
CELL_PARAMETERS angstrom
9.1839 -0.0458 -0.0270
8.6369 3.1226 -0.0270
8.6369 1.4912 2.7437
! V (Å³ per cell): 81
! Symmetry: R3m (160)
! Magnetization (Bohr magnetons per cell): 0.00
! Energy relative to the elements, uncorrected (eV per atom): 0.380

---

! Rb2Hg2Te (PBE, optimized geometry); values from VASP
&SYSTEM
  ibrav = 0, nat = 10, ntyp = 3
/
ATOMIC_SPECIES
Rb 85.47 Rb.upf
Te 127.60 Te.upf
Hg 200.59 Hg.upf
ATOMIC_POSITIONS crystal
Rb 0.6848 0.3696 0.0707
Rb 0.6135 0.2271 0.4028
Rb 0.3865 0.7729 0.5972
Rb 0.3152 0.6304 0.9293
Te 0.7622 0.5245 0.7229
Te 0.2378 0.4755 0.2771
Hg 0.0096 0.0192 0.8626
Hg 0.0874 0.1749 0.6407
Hg 0.9126 0.8251 0.3593
Hg 0.9904 0.9808 0.1374
CELL_PARAMETERS angstrom
-3.9338 -0.0927 -3.7401
6.5320 0.9610 -2.9542
-1.6847 -11.8817 2.0663
! V (Å³ per cell): 415
! Symmetry: C2/m (12)
! Magnetization (Bohr magnetons per cell): 0.00
! Polymorph energy (0 for the lowest one) (meV/atom): 0
! Energy relative to the elements, uncorrected (eV per atom): -0.547

---

! YCo2Sb (PBE, optimized geometry); values from VASP
&SYSTEM
  ibrav = 0, nat = 4, ntyp = 3
/
ATOMIC_SPECIES
Sb 121.76 Sb.upf
Co 58.93 Co.upf
Y 88.91 Y.upf
ATOMIC_POSITIONS crystal
Sb 0.5139 0.5139 0.0000
Co 0.7364 0.2364 0.5000
Co 0.9962 0.9962 0.0000
Y 0.2535 0.7535 0.5000
CELL_PARAMETERS angstrom
5.3670 -0.0071 -0.0182
2.5512 4.7218 0.0182
-3.8142 -2.6007 2.7373
! V (Å³ per cell): 69
! Symmetry: Imm2 (44)
! Magnetization (Bohr magnetons per cell): 0.63
! Energy relative to the elements, uncorrected (eV per atom): -0.034

---

! TbDy3Y7 (PBE, optimized geometry); values from VASP
&SYSTEM
  ibrav = 0, nat = 11, ntyp = 3
/
ATOMIC_SPECIES
Y 88.91 Y.upf
Dy 162.50 Dy.upf
Tb 158.93 Tb.upf
ATOMIC_POSITIONS crystal
Y 0.1167 0.1679 0.8321
Y 0.4501 0.3353 0.1676
Y 0.1167 0.6641 0.8321
Y 0.4501 0.8324 0.6647
Y 0.1167 0.1679 0.3359
Y 0.1179 0.6667 0.3333
Y 0.4501 0.8324 0.1676
Dy 0.7829 0.4998 0.9996
Dy 0.7829 0.0004 0.5002
Dy 0.7829 0.4998 0.5002
Tb 0.4482 0.3333 0.6667
CELL_PARAMETERS angstrom
-1.7044 -2.4602 8.0639
-6.2222 -2.6368 -2.1196
5.7770 -4.0972 -0.0290
! V (Å³ per cell): 374
! Symmetry: P3m1 (156)
! Magnetization (Bohr magnetons per cell): 0.00
! Polymorph energy (0 for the lowest one) (meV/atom): 52
! Formation energy (eV per atom): 0.1981

---

! Nd12ZnGa6 (PBE, optimized geometry); values from VASP
&SYSTEM
  ibrav = 0, nat = 19, ntyp = 3
/
ATOMIC_SPECIES
Nd 144.24 Nd.upf
Ga 69.72 Ga.upf
Zn 65.41 Zn.upf
ATOMIC_POSITIONS crystal
Nd 0.3048 0.0093 0.8670
Nd 0.6952 0.9907 0.1330
Nd 0.9907 0.1330 0.6952
Nd 0.4669 0.1247 0.3658
Nd 0.8670 0.3048 0.0093
Nd 0.3658 0.4669 0.1247
Nd 0.8753 0.6342 0.5331
Nd 0.1330 0.6952 0.9907
Nd 0.6342 0.5331 0.8753
Nd 0.1247 0.3658 0.4669
Nd 0.0093 0.8670 0.3048
Nd 0.5331 0.8753 0.6342
Ga 0.3695 0.6773 0.8185
Ga 0.6773 0.8185 0.3695
Ga 0.1815 0.6305 0.3227
Ga 0.6305 0.3227 0.1815
Ga 0.8185 0.3695 0.6773
Ga 0.3227 0.1815 0.6305
Zn 0.0000 0.0000 0.0000
CELL_PARAMETERS angstrom
-4.4407 2.5439 -7.3162
-5.8965 -0.8798 6.6465
5.6838 6.5271 2.1931
! V (Å³ per cell): 575
! Symmetry: R-3 (148)
! Magnetization (Bohr magnetons per cell): 0.00
! Formation energy (eV per atom): -0.1907

---

! ZrMo2Pt (PBE, optimized geometry); values from VASP
&SYSTEM
  ibrav = 0, nat = 4, ntyp = 3
/
ATOMIC_SPECIES
Mo 95.94 Mo.upf
Zr 91.22 Zr.upf
Pt 195.08 Pt.upf
ATOMIC_POSITIONS crystal
Mo 0.0000 0.0000 0.0000
Mo 0.5000 0.0000 0.5000
Zr 0.5000 0.5000 0.0000
Pt 0.0000 0.5000 0.5000
CELL_PARAMETERS angstrom
-0.5624 1.2584 5.1141
4.9947 -1.6085 -1.5568
1.3072 2.4306 0.0275
! V (Å³ per cell): 68
! Symmetry: C2/m (12)
! Magnetization (Bohr magnetons per cell): 0.00
! Polymorph energy (0 for the lowest one) (meV/atom): 153
! Formation energy (eV per atom): -0.1178

---

! Sc2ZnSi4Ir3 (PBE, optimized geometry); values from VASP
&SYSTEM
  ibrav = 0, nat = 10, ntyp = 4
/
ATOMIC_SPECIES
Si 28.09 Si.upf
Ir 192.22 Ir.upf
Zn 65.41 Zn.upf
Sc 44.96 Sc.upf
ATOMIC_POSITIONS crystal
Si 0.0000 0.5000 0.3581
Si 0.0000 0.0000 0.0000
Si 0.5000 0.5000 0.0000
Si 0.5000 0.0000 0.6419
Ir 0.5000 0.0000 0.8684
Ir 0.0000 0.0000 0.5000
Ir 0.0000 0.5000 0.1316
Zn 0.5000 0.5000 0.5000
Sc 0.5000 0.0000 0.2490
Sc 0.0000 0.5000 0.7510
CELL_PARAMETERS angstrom
3.9630 0.0000 0.0000
0.0000 3.9630 0.0000
0.0000 0.0000 10.2790
! V (Å³ per cell): 161
! Symmetry: P-4m2 (115)
! Magnetization (Bohr magnetons per cell): 0.00
! Energy relative to the elements, uncorrected (eV per atom): -0.777

---

! AlTlTe2 (PBE, optimized geometry); values from VASP
&SYSTEM
  ibrav = 0, nat = 16, ntyp = 3
/
ATOMIC_SPECIES
Te 127.60 Te.upf
Tl 204.38 Tl.upf
Al 26.98 Al.upf
ATOMIC_POSITIONS crystal
Te 0.1464 0.7500 0.7006
Te 0.3536 0.2500 0.7994
Te 0.1282 0.2500 0.2822
Te 0.8536 0.2500 0.2994
Te 0.6282 0.2500 0.7822
Te 0.6464 0.7500 0.2006
Te 0.3718 0.7500 0.2178
Te 0.8718 0.7500 0.7178
Tl 0.5312 0.2500 0.3129
Tl 0.9688 0.7500 0.1871
Tl 0.0312 0.2500 0.8129
Tl 0.4688 0.7500 0.6871
Al 0.7199 0.7500 0.0577
Al 0.2801 0.2500 0.9423
Al 0.7801 0.2500 0.4423
Al 0.2199 0.7500 0.5577
CELL_PARAMETERS angstrom
-2.4934 -6.5846 19.5474
-3.2250 -2.0268 -1.0941
4.7748 -3.3380 -7.8906
! V (Å³ per cell): 571
! Symmetry: P2_1/m (11)
! Magnetization (Bohr magnetons per cell): 0.00
! Energy relative to the elements, uncorrected (eV per atom): -0.343

---

! Li7ZnIn2 (PBE, optimized geometry); values from VASP
&SYSTEM
  ibrav = 0, nat = 10, ntyp = 3
/
ATOMIC_SPECIES
Zn 65.41 Zn.upf
Li 6.94 Li.upf
In 114.82 In.upf
ATOMIC_POSITIONS crystal
Zn 0.0000 0.0000 0.0718
Li 0.3333 0.6667 0.9127
Li 0.3333 0.6667 0.1427
Li 0.6667 0.3333 0.5422
Li 0.3333 0.6667 0.3791
Li 0.6667 0.3333 0.9148
Li 0.0000 0.0000 0.3912
Li 0.0000 0.0000 0.7594
In 0.3333 0.6667 0.6464
In 0.6667 0.3333 0.2231
CELL_PARAMETERS angstrom
-1.3683 4.2726 -1.0869
-2.3123 -2.4268 3.1737
5.8467 3.6698 7.0659
! V (Å³ per cell): 182
! Symmetry: P3m1 (156)
! Magnetization (Bohr magnetons per cell): 0.00
! Formation energy (eV per atom): -0.1222

---

! MnFe2Ni (PBE, optimized geometry); values from VASP
&SYSTEM
  ibrav = 0, nat = 4, ntyp = 3
/
ATOMIC_SPECIES
Mn 54.94 Mn.upf
Fe 55.84 Fe.upf
Ni 58.69 Ni.upf
ATOMIC_POSITIONS crystal
Mn 0.5000 0.2500 0.2500
Fe 0.0000 0.5003 0.4968
Fe 0.0000 0.9997 0.0032
Ni 0.5000 0.7500 0.7500
CELL_PARAMETERS angstrom
4.0761 0.0000 0.0000
0.0000 2.4698 -0.0120
0.0000 0.8137 4.6117
! V (Å³ per cell): 46
! Symmetry: P2/m (10)
! Magnetization (Bohr magnetons per cell): 7.94
! Formation energy (eV per atom): 0.1183

---

! Pr6Al2Ir (PBE, optimized geometry); values from VASP
&SYSTEM
  ibrav = 0, nat = 9, ntyp = 3
/
ATOMIC_SPECIES
Pr 140.91 Pr.upf
Al 26.98 Al.upf
Ir 192.22 Ir.upf
ATOMIC_POSITIONS crystal
Pr 0.5000 0.0000 0.6010
Pr 0.0000 0.7515 0.7514
Pr 0.0000 0.0002 0.2486
Pr 0.0000 0.2483 0.0000
Pr 0.5000 0.6012 0.0000
Pr 0.5000 0.3990 0.3990
Al 0.0000 0.3335 0.6668
Al 0.0000 0.6666 0.3332
Ir 0.5000 0.9997 0.0000
CELL_PARAMETERS angstrom
-0.6443 -3.7560 0.8297
4.0548 -2.3471 -7.4769
4.6417 0.8509 7.4565
! V (Å³ per cell): 263
! Symmetry: P-62m (189)
! Magnetization (Bohr magnetons per cell): 0.00
! Formation energy (eV per atom): -0.3110

---

! Tb3Pr2YAs6 (PBE, optimized geometry); values from VASP
&SYSTEM
  ibrav = 0, nat = 12, ntyp = 4
/
ATOMIC_SPECIES
As 74.92 As.upf
Tb 158.93 Tb.upf
Y 88.91 Y.upf
Pr 140.91 Pr.upf
ATOMIC_POSITIONS crystal
As 0.3339 0.9242 0.6678
As 0.3356 0.4109 0.6712
As 0.0027 0.7521 0.0055
As 0.6644 0.5891 0.3288
As 0.6661 0.0758 0.3322
As 0.9973 0.2479 0.9945
Tb 0.8329 0.1659 0.6659
Tb 0.1671 0.8341 0.3341
Tb 0.5000 0.5000 0.0000
Y 0.5000 0.0000 0.0000
Pr 0.8343 0.6682 0.6686
Pr 0.1657 0.3318 0.3314
CELL_PARAMETERS angstrom
4.1964 0.0000 0.0000
0.0000 8.3815 0.3001
-2.0982 -2.4143 8.8149
! V (Å³ per cell): 313
! Symmetry: C2/m (12)
! Magnetization (Bohr magnetons per cell): 0.00
! Formation energy (eV per atom): -1.5208

---

! NaAsAu2S4 (PBE, optimized geometry); values from VASP
&SYSTEM
  ibrav = 0, nat = 8, ntyp = 4
/
ATOMIC_SPECIES
S 32.06 S.upf
Na 22.99 Na.upf
Au 196.97 Au.upf
As 74.92 As.upf
ATOMIC_POSITIONS crystal
S 0.3339 0.1742 0.5480
S 0.6661 0.4520 0.8258
S 0.0561 0.8258 0.4520
S 0.9439 0.5480 0.1742
Na 0.0000 0.0000 0.0000
Au 0.5000 0.2902 0.7098
Au 0.5000 0.7098 0.2902
As 0.0000 0.5000 0.5000
CELL_PARAMETERS angstrom
6.2811 0.0000 0.0000
3.1405 5.9068 0.4782
3.1405 1.1294 5.8175
! V (Å³ per cell): 212
! Symmetry: I222 (23)
! Magnetization (Bohr magnetons per cell): 0.00
! Energy relative to the elements, uncorrected (eV per atom): -0.273

---

! Zn2SiW (PBE, optimized geometry); values from VASP
&SYSTEM
  ibrav = 0, nat = 4, ntyp = 3
/
ATOMIC_SPECIES
Zn 65.41 Zn.upf
W 183.84 W.upf
Si 28.09 Si.upf
ATOMIC_POSITIONS crystal
Zn 0.5000 0.5000 0.2435
Zn 0.0000 0.0000 0.9978
W 0.5000 0.5000 0.7453
Si 0.0000 0.0000 0.5134
CELL_PARAMETERS angstrom
2.7069 0.0403 0.0000
-0.5837 2.6436 0.0000
0.0000 0.0000 8.5240
! V (Å³ per cell): 61
! Symmetry: Cmm2 (35)
! Magnetization (Bohr magnetons per cell): 0.00
! Energy relative to the elements, uncorrected (eV per atom): 0.251

---

! TaMo2Ir (PBE, optimized geometry); values from VASP
&SYSTEM
  ibrav = 0, nat = 4, ntyp = 3
/
ATOMIC_SPECIES
Mo 95.94 Mo.upf
Ta 180.95 Ta.upf
Ir 192.22 Ir.upf
ATOMIC_POSITIONS crystal
Mo 0.0000 0.0000 0.5003
Mo 0.0000 0.0000 0.9997
Ta 0.5000 0.5000 0.2500
Ir 0.5000 0.5000 0.7500
CELL_PARAMETERS angstrom
-2.7126 1.4562 0.9460
-0.3641 -2.1925 2.3311
3.2827 3.5891 3.8884
! V (Å³ per cell): 65
! Symmetry: P4/mmm (123)
! Magnetization (Bohr magnetons per cell): 0.00
! Polymorph energy (0 for the lowest one) (meV/atom): 142
! Formation energy (eV per atom): -0.0120

---

! TaSi2Pt (PBE, optimized geometry); values from VASP
&SYSTEM
  ibrav = 0, nat = 4, ntyp = 3
/
ATOMIC_SPECIES
Si 28.09 Si.upf
Pt 195.08 Pt.upf
Ta 180.95 Ta.upf
ATOMIC_POSITIONS crystal
Si 0.0000 0.0000 0.0000
Si 0.5000 0.5000 0.0000
Pt 0.0000 0.5000 0.5000
Ta 0.5000 0.0000 0.5000
CELL_PARAMETERS angstrom
4.0998 0.0000 0.0000
0.0000 4.3707 0.0000
0.0000 0.0000 3.3104
! V (Å³ per cell): 59
! Symmetry: Pmmm (47)
! Magnetization (Bohr magnetons per cell): 0.00
! Energy relative to the elements, uncorrected (eV per atom): -0.390

---

! NbAlGaAu (PBE, optimized geometry); values from VASP
&SYSTEM
  ibrav = 0, nat = 4, ntyp = 4
/
ATOMIC_SPECIES
Nb 92.91 Nb.upf
Ga 69.72 Ga.upf
Al 26.98 Al.upf
Au 196.97 Au.upf
ATOMIC_POSITIONS crystal
Nb 0.5000 0.5000 0.0000
Ga 0.0000 0.0000 0.0000
Al 0.0000 0.5000 0.5000
Au 0.5000 0.0000 0.5000
CELL_PARAMETERS angstrom
3.7923 0.0000 0.0000
0.0000 4.0819 0.0000
0.0000 0.0000 4.2758
! V (Å³ per cell): 66
! Symmetry: Pmmm (47)
! Magnetization (Bohr magnetons per cell): 0.00
! Formation energy (eV per atom): -0.3535

---

! ZrCdAu (PBE, optimized geometry); values from VASP
&SYSTEM
  ibrav = 0, nat = 3, ntyp = 3
/
ATOMIC_SPECIES
Au 196.97 Au.upf
Zr 91.22 Zr.upf
Cd 112.41 Cd.upf
ATOMIC_POSITIONS crystal
Au 0.7500 0.7500 0.7500
Zr 0.5000 0.5000 0.5000
Cd 0.0000 0.0000 0.0000
CELL_PARAMETERS angstrom
-0.3018 4.4157 1.3075
-1.4254 1.0525 4.2614
2.9872 1.7047 3.0772
! V (Å³ per cell): 70
! Symmetry: F-43m (216)
! Magnetization (Bohr magnetons per cell): 0.05
! Formation energy (eV per atom): -0.2016

---

! Zn2Cu2I (PBE, optimized geometry); values from VASP
&SYSTEM
  ibrav = 0, nat = 5, ntyp = 3
/
ATOMIC_SPECIES
Zn 65.41 Zn.upf
I 126.90 I.upf
Cu 63.55 Cu.upf
ATOMIC_POSITIONS crystal
Zn 0.7500 0.2500 0.5000
Zn 0.2500 0.7500 0.5000
I 0.0000 0.0000 0.0000
Cu 0.6093 0.6093 0.7814
Cu 0.3907 0.3907 0.2186
CELL_PARAMETERS angstrom
-0.4530 3.8077 -0.0452
-2.6111 -0.2775 2.7949
2.8939 2.3415 5.5670
! V (Å³ per cell): 90
! Symmetry: I4/mmm (139)
! Magnetization (Bohr magnetons per cell): 0.00
! Polymorph energy (0 for the lowest one) (meV/atom): 0
! Energy relative to the elements, uncorrected (eV per atom): 0.185